1.
Density functional theory data (GGA-PBE) for a relaxed structure of HoGa2Ni2Rh.

Results
As for the mass density: 7.8 g/cm3. The density of states at the Fermi level comes out at 4.156 states/eV/f.u. As for the magnetization: 0.000 μB per atom. The value obtained for the formation energy is -0.8 eV/f.u. As for the total energy: -30.39 eV/cell.

Lattice parameters (Å, degrees): 4.634 4.634 5.186 90.00 90.00 90.00
Fractional coordinates of all 6 atoms:
Ho  0.000  0.000  0.500
Ga  0.500  0.000  0.000
Ga  0.000  0.500  0.000
Ni  0.500  0.500  0.746
Ni  0.500  0.500  0.254
Rh  0.000  0.000  0.000

***

2.
Density functional theory data (GGA-PBE) for a relaxed structure of Zr2CrAu2.

Results
As for the mass density: 9.8 g/cm3. The density of states at the Fermi level comes out at 4.829 states/eV/f.u. As for the magnetization: 0.378 μB per atom. For the energy above the most stable polymorph in this dataset, the calculation gives 0.227 eV/atom. The value obtained for the formation energy is 1.3 eV/f.u. As for the total energy: -31.95 eV/cell.

Lattice parameters (Å, degrees): 8.037 8.037 8.037 152.98 152.98 38.59
Site moments in Bohr magnetons follow the coordinates.
Fractional coordinates of all 5 atoms:
Zr  0.597  0.597  0.000  -0.51
Zr  0.403  0.403  0.000  -0.51
Cr  0.000  0.000  0.000  3.05
Au  0.250  0.750  0.500  -0.02
Au  0.750  0.250  0.500  -0.02

***

3.
Density functional theory data (GGA-PBE) for a relaxed structure of PrDy4Y6.

Results
As for the mass density: 6.1 g/cm3. The density of states at the Fermi level comes out at 20.166 states/eV/f.u. As for the magnetization: 0.000 μB per atom. For the energy above the most stable polymorph in this dataset, the calculation gives 0.000 eV/atom. The value obtained for the formation energy is 1.3 eV/f.u. As for the total energy: -121.39 eV/cell.

Lattice parameters (Å, degrees): 5.720 5.638 25.838 90.00 90.00 120.48
Fractional coordinates of all 22 atoms:
Pr  0.821  0.641  0.250
Pr  0.179  0.359  0.750
Dy  0.839  0.678  0.542
Dy  0.480  0.961  0.121
Dy  0.161  0.322  0.458
Dy  0.520  0.039  0.879
Dy  0.839  0.678  0.958
Dy  0.161  0.322  0.042
Dy  0.520  0.039  0.621
Dy  0.480  0.961  0.379
Y  0.500  0.000  0.000
Y  0.500  0.000  0.500
Y  0.151  0.302  0.320
Y  0.849  0.698  0.680
Y  0.849  0.698  0.820
Y  0.151  0.302  0.180
Y  0.818  0.636  0.398
Y  0.182  0.364  0.602
Y  0.182  0.364  0.898
Y  0.818  0.636  0.102
Y  0.487  0.973  0.250
Y  0.513  0.027  0.750

***

4.
Density functional theory data (GGA-PBE) for a relaxed structure of Rb2MgRe.

Results
As for the mass density: 5.4 g/cm3. The density of states at the Fermi level comes out at 2.806 states/eV/f.u. As for the magnetization: 0.279 μB per atom. The value obtained for the formation energy is 6.7 eV/f.u. As for the total energy: -18.61 eV/cell.

Lattice parameters (Å, degrees): 4.366 4.366 12.769 80.16 80.16 90.00
Site moments in Bohr magnetons follow the coordinates.
Fractional coordinates of all 8 atoms:
Re  0.000  0.000  0.000  1.27
Re  0.750  0.250  0.500  1.27
Mg  0.500  0.500  0.000  -0.03
Mg  0.250  0.750  0.500  -0.03
Rb  0.628  0.125  0.250  -0.02
Rb  0.122  0.625  0.250  -0.02
Rb  0.375  0.372  0.750  -0.03
Rb  0.875  0.878  0.750  -0.03

***

5.
Density functional theory data (GGA-PBE) for a relaxed structure of BaAlIr2.

Results
As for the mass density: 11.4 g/cm3. The density of states at the Fermi level comes out at 5.731 states/eV/f.u. As for the magnetization: 0.000 μB per atom. For the energy above the most stable polymorph in this dataset, the calculation gives 0.942 eV/atom. The value obtained for the formation energy is 2.2 eV/f.u. As for the total energy: -21.15 eV/cell.

Lattice parameters (Å, degrees): 5.481 5.481 5.481 135.41 135.41 64.89
Fractional coordinates of all 4 atoms:
Ir  0.000  0.000  0.000
Ir  0.250  0.750  0.500
Ba  0.750  0.250  0.500
Al  0.500  0.500  0.000

***

6.
Density functional theory data (GGA-PBE) for a relaxed structure of KCd2H2.

Results
As for the mass density: 4.6 g/cm3. The density of states at the Fermi level comes out at 1.255 states/eV/f.u. As for the magnetization: 0.000 μB per atom. As for the total energy: -8.56 eV/cell.

Lattice parameters (Å, degrees): 4.398 4.398 5.815 67.78 67.78 90.00
Fractional coordinates of all 5 atoms:
H  0.750  0.250  0.500
H  0.250  0.750  0.500
K  0.000  0.000  0.000
Cd  0.344  0.344  0.311
Cd  0.656  0.656  0.689

***

7.
Density functional theory data (GGA-PBE) for a relaxed structure of SrMo3I.

Results
As for the mass density: 6.8 g/cm3. The density of states at the Fermi level comes out at 8.353 states/eV/f.u. As for the magnetization: 0.470 μB per atom. Its formation energy (no corrections) is 3.133 eV per atom. For the energy above the most stable polymorph in this dataset, the calculation gives 1.442 eV/atom. As for the total energy: -20.06 eV/cell.

Lattice parameters (Å, degrees): 4.972 4.972 4.972 90.00 90.00 90.00
Site moments in Bohr magnetons follow the coordinates.
Fractional coordinates of all 5 atoms:
I  0.500  0.500  0.500  -0.04
Sr  0.000  0.000  0.000  0.01
Mo  0.000  0.500  0.000  0.60
Mo  0.000  0.000  0.500  0.62
Mo  0.500  0.000  0.000  0.83

***

8.
Density functional theory data (GGA-PBE) for a relaxed structure of NdBiI.

Results
As for the mass density: 6.6 g/cm3. The density of states at the Fermi level comes out at 1.290 states/eV/f.u. As for the magnetization: 0.000 μB per atom. Its formation energy (no corrections) is -0.754 eV per atom. For the energy above the most stable polymorph in this dataset, the calculation gives 0.017 eV/atom. As for the total energy: -24.92 eV/cell.

Lattice parameters (Å, degrees): 4.576 7.825 7.859 120.24 90.00 90.00
Fractional coordinates of all 6 atoms:
Nd  0.822  0.062  0.851
Nd  0.322  0.062  0.351
Bi  0.822  0.352  0.334
Bi  0.822  0.773  0.367
I  0.322  0.323  0.826
I  0.322  0.802  0.875

***

9.
Density functional theory data (GGA-PBE) for a relaxed structure of PmTmRu2.

Results
As for the mass density: 10.7 g/cm3. The density of states at the Fermi level comes out at 5.060 states/eV/f.u. As for the magnetization: 0.000 μB per atom. For the energy above the most stable polymorph in this dataset, the calculation gives 0.000 eV/atom. The value obtained for the formation energy is -1.0 eV/f.u. As for the total energy: -28.81 eV/cell.

Lattice parameters (Å, degrees): 3.417 3.417 6.851 90.00 90.00 90.00
Fractional coordinates of all 4 atoms:
Ru  0.000  0.000  0.759
Ru  0.000  0.000  0.241
Tm  0.500  0.500  0.000
Pm  0.500  0.500  0.500

***

10.
Density functional theory data (GGA-PBE) for a relaxed structure of UZn9Ag2.

Results
As for the mass density: 8.7 g/cm3. The density of states at the Fermi level comes out at 8.911 states/eV/f.u. As for the magnetization: 0.264 μB per atom. The value obtained for the formation energy is 0.3 eV/f.u. As for the total energy: -28.11 eV/cell.

Lattice parameters (Å, degrees): 5.223 5.223 8.960 73.05 73.05 60.00
Site moments in Bohr magnetons follow the coordinates.
Fractional coordinates of all 12 atoms:
U  0.000  0.000  0.000  2.64
Zn  0.667  0.667  0.999  0.03
Zn  0.333  0.333  0.001  0.03
Zn  0.500  0.500  0.500  0.02
Zn  0.411  0.411  0.260  0.01
Zn  0.918  0.411  0.260  0.01
Zn  0.411  0.918  0.260  0.01
Zn  0.589  0.589  0.740  0.01
Zn  0.589  0.082  0.740  0.01
Zn  0.082  0.589  0.740  0.01
Ag  0.864  0.864  0.408  0.01
Ag  0.136  0.136  0.592  0.01

***

11.
Density functional theory data (GGA-PBE) for a relaxed structure of BaNa2Li9.

Results
As for the mass density: 1.2 g/cm3. The density of states at the Fermi level comes out at 7.215 states/eV/f.u. As for the magnetization: 0.000 μB per atom. The value obtained for the formation energy is 0.4 eV/f.u. As for the total energy: -21.40 eV/cell.

Lattice parameters (Å, degrees): 6.152 6.152 10.594 73.12 73.12 60.00
Fractional coordinates of all 12 atoms:
Ba  0.000  0.000  0.000
Na  0.856  0.856  0.433
Na  0.144  0.144  0.567
Li  0.667  0.667  0.000
Li  0.333  0.333  0.000
Li  0.500  0.500  0.500
Li  0.416  0.416  0.251
Li  0.916  0.416  0.251
Li  0.416  0.916  0.251
Li  0.584  0.584  0.749
Li  0.584  0.084  0.749
Li  0.084  0.584  0.749

***

12.
Density functional theory data (GGA-PBE) for a relaxed structure of MgSc8Ga2.

Results
As for the mass density: 3.4 g/cm3. The density of states at the Fermi level comes out at 17.935 states/eV/f.u. As for the magnetization: 0.079 μB per atom. The value obtained for the formation energy is -1.4 eV/f.u. As for the total energy: -59.71 eV/cell.

Lattice parameters (Å, degrees): 5.168 7.685 7.685 115.69 100.38 100.38
Site moments in Bohr magnetons follow the coordinates.
Fractional coordinates of all 11 atoms:
Mg  0.500  0.000  0.000  0.00
Sc  0.897  0.914  0.672  0.07
Sc  0.897  0.672  0.914  0.07
Sc  0.299  0.598  0.598  0.07
Sc  0.500  0.766  0.234  0.03
Sc  0.500  0.234  0.766  0.03
Sc  0.701  0.402  0.402  0.07
Sc  0.103  0.328  0.086  0.07
Sc  0.103  0.086  0.328  0.07
Ga  0.000  0.305  0.695  0.00
Ga  0.000  0.695  0.305  0.00